## CaZr2CdO (PBE)

Data for a geometry-optimized CaZr2CdO structure.

Unit cell a=4.522 b=4.522 c=4.785 alpha=90.00 beta=90.00 gamma=90.00
Sites, in units of the cell vectors:
Ca 0.000 0.000 0.500
Cd 0.500 0.500 0.500
Zr 0.000 0.500 0.000
Zr 0.500 0.000 0.000
O 0.000 0.000 0.000

Calculated values
**DOS at the Fermi energy**: 0.5074 states/eV/atom
**SG**: P4/mmm (123)
**Formation energy without anion corrections**: -1.040 eV per atom
**Calculated total energy**: -6.034 eV/atom

## Si2Pt (PBE)

Data for a geometry-optimized Si2Pt structure.

Unit cell a=6.188 b=6.188 c=4.804 alpha=90.00 beta=90.00 gamma=150.45
Sites, in units of the cell vectors:
Pt 0.196 0.804 0.250
Pt 0.804 0.196 0.750
Si 0.135 0.865 0.750
Si 0.531 0.469 0.250
Si 0.469 0.531 0.750
Si 0.865 0.135 0.250

Calculated values
**DOS at the Fermi energy**: 0.4150 states/eV/atom
**SG**: Cmcm (63)
**Formation energy without anion corrections**: -0.243 eV per atom
**Calculated total energy**: -5.872 eV/atom

## NaBe2Au (PBE)

Data for a geometry-optimized NaBe2Au structure.

Unit cell a=4.452 b=4.452 c=8.496 alpha=74.81 beta=74.81 gamma=90.00
Sites, in units of the cell vectors:
Au 0.750 0.250 0.500
Au 0.000 0.000 0.000
Be 0.875 0.125 0.750
Be 0.875 0.125 0.250
Be 0.375 0.125 0.750
Be 0.875 0.625 0.250
Na 0.500 0.500 0.000
Na 0.250 0.750 0.500

Calculated values
**Energy relative to the elements**: 0.933 eV/f.u.
**DOS at the Fermi energy**: 0.3664 states/eV/atom
**SG**: I4_1/amd (141)
**Calculated total energy**: -2.779 eV/atom

## Pm2ThHg (PBE)

Data for a geometry-optimized Pm2ThHg structure.

Unit cell a=5.523 b=5.523 c=5.523 alpha=60.00 beta=60.00 gamma=60.00
Sites, in units of the cell vectors:
Hg 0.000 0.000 0.000
Pm 0.750 0.750 0.750
Pm 0.250 0.250 0.250
Th 0.500 0.500 0.500

Calculated values
**Energy relative to the elements**: 0.158 eV/f.u.
**DOS at the Fermi energy**: 1.5561 states/eV/atom
**SG**: Fm-3m (225)
**Calculated total energy**: -4.266 eV/atom

## Mg2HgBi (PBE)

Data for a geometry-optimized Mg2HgBi structure.

Unit cell a=4.827 b=4.827 c=5.735 alpha=65.12 beta=65.12 gamma=60.00
Sites, in units of the cell vectors:
Hg 0.500 0.500 0.500
Bi 0.000 0.000 0.000
Mg 0.235 0.235 0.294
Mg 0.765 0.765 0.706

Calculated values
**Energy relative to the elements**: -0.704 eV/f.u.
**DOS at the Fermi energy**: 0.3824 states/eV/atom
**SG**: R-3m (166)
**Calculated total energy**: -2.019 eV/atom

## CaAcPrPt2 (PBE)

Data for a geometry-optimized CaAcPrPt2 structure.

Unit cell a=4.457 b=9.143 c=7.977 alpha=88.04 beta=73.78 gamma=75.89
Sites, in units of the cell vectors:
Ac 0.821 0.728 0.630
Ac 0.179 0.272 0.370
Pr 0.609 0.631 0.151
Pr 0.391 0.369 0.849
Pt 0.812 0.291 0.084
Pt 0.660 0.111 0.570
Pt 0.188 0.709 0.916
Pt 0.340 0.889 0.430
Ca 0.918 0.957 0.208
Ca 0.082 0.043 0.792

Calculated values
**Energy relative to the elements**: -4.480 eV/f.u.
**DOS at the Fermi energy**: 0.6857 states/eV/atom
**SG**: C2/m (12)
**Calculated total energy**: -5.490 eV/atom

## SrCa9Nd4 (PBE)

Data for a geometry-optimized SrCa9Nd4 structure.

Unit cell a=11.950 b=10.713 c=10.713 alpha=120.00 beta=90.00 gamma=90.00
Sites, in units of the cell vectors:
Ca 0.471 0.799 0.598
Ca 0.029 0.799 0.201
Ca 0.529 0.201 0.402
Ca 0.029 0.799 0.598
Ca 0.971 0.201 0.402
Ca 0.971 0.201 0.799
Ca 0.750 0.543 0.087
Ca 0.250 0.457 0.543
Ca 0.471 0.799 0.201
Ca 0.250 0.457 0.913
Ca 0.029 0.402 0.201
Ca 0.471 0.402 0.201
Ca 0.529 0.201 0.799
Ca 0.529 0.598 0.799
Ca 0.971 0.598 0.799
Ca 0.750 0.913 0.457
Ca 0.250 0.087 0.543
Ca 0.750 0.543 0.457
Nd 0.250 0.104 0.896
Nd 0.250 0.104 0.208
Nd 0.750 0.208 0.104
Nd 0.750 0.896 0.792
Nd 0.750 0.896 0.104
Nd 0.500 0.000 0.000
Nd 0.000 0.000 0.000
Nd 0.250 0.792 0.896
Sr 0.750 0.333 0.667
Sr 0.250 0.667 0.333

Calculated values
**Energy relative to the elements**: 2.189 eV/f.u.
**DOS at the Fermi energy**: 1.4836 states/eV/atom
**SG**: P6_3/mmc (194)
**Calculated total energy**: -2.613 eV/atom

## SnBiSe2 (PBE)

Data for a geometry-optimized SnBiSe2 structure.

Unit cell a=3.989 b=3.989 c=8.321 alpha=76.13 beta=76.13 gamma=60.00
Sites, in units of the cell vectors:
Se 0.253 0.253 0.241
Se 0.080 0.080 0.759
Sn 0.667 0.667 0.998
Bi 0.499 0.499 0.503

Calculated values
**DOS at the Fermi energy**: 0.3752 states/eV/atom
**SG**: R3m (160)
**Formation energy without anion corrections**: -0.252 eV per atom
**Calculated total energy**: -3.965 eV/atom

> Number 7 is which compound?

SrCa9Nd4